A plane-wave DFT calculation with PBE was carried out for Ca2ZnIn5 after structural relaxation.

DOS at the Fermi energy, states/eV/f.u.: 2.80
Energy of formation, meV/atom: -276
Total magnetic moment, μB per cell: 0.00

Lattice parameters (Å, degrees): 6.5963 6.5963 9.2966 90.00 90.00 90.00
Closest atoms and distances in Å follow each position.
Space group I4mm (No. 107)
Inequivalent atoms, fractional coordinates:
Ca  0.0000  0.5000  0.0000  10 In 3.29-3.30, 2 Zn 3.30
Zn  0.0000  0.0000  0.4991  8 In 3.29-3.30, 4 Ca 3.30
In  0.0000  0.0000  0.0007  8 In 3.29, 4 Ca 3.30
In  0.2503  0.2503  0.2500  2 Zn 3.29-3.30, 6 In 3.29-3.30, 4 Ca 3.29

A plane-wave DFT calculation with PBE was carried out for Ca5Zn2In after structural relaxation.

DOS at the Fermi energy, states/eV/f.u.: 8.03
Energy of formation, meV/atom: -278
Total magnetic moment, μB per cell: 0.00

Lattice parameters (Å, degrees): 8.0156 8.0156 15.2246 90.00 90.00 90.00
Closest atoms and distances in Å follow each position.
Space group I4/mcm (No. 140)
Inequivalent atoms, fractional coordinates:
Ca  0.0000  0.0000  0.0000  4 Zn 3.23
Ca  0.1735  0.3265  0.1451  3 Zn 3.23-3.27, 2 In 3.37
Zn  0.1136  0.3864  0.5000  1 Zn 2.57
In  0.0000  0.0000  0.2500  8 Ca 3.37

A plane-wave DFT calculation with PBE was carried out for Ca3Zn9In2 after structural relaxation.

DOS at the Fermi energy, states/eV/f.u.: 5.89
Energy of formation, meV/atom: -237
Total magnetic moment, μB per cell: 0.00

Lattice parameters (Å, degrees): 4.4422 9.4721 13.4380 90.00 90.00 90.00
Closest atoms and distances in Å follow each position.
Space group Immm (No. 71)
Inequivalent atoms, fractional coordinates:
Ca  0.0000  0.0000  0.0000  12 Zn 3.26-3.43, 4 In 3.58
Ca  0.0000  0.0000  0.2985  10 Zn 3.09-3.39, 2 In 3.32
Zn  0.0000  0.2801  0.1414  4 Zn 2.64-2.82, 2 In 2.93
Zn  0.0000  0.3645  0.3301  4 Zn 2.57-2.66, 1 In 2.75
Zn  0.0000  0.5000  0.0000  4 Zn 2.82, 4 In 2.94
In  0.0000  0.2036  0.5000  8 Zn 2.75-2.94

A plane-wave DFT calculation with PBE was carried out for CaZn2In2 after structural relaxation.

DOS at the Fermi energy, states/eV/f.u.: 2.35
Energy of formation, meV/atom: -140
Total magnetic moment, μB per cell: 0.00

Lattice parameters (Å, degrees): 7.8799 7.8799 3.7424 90.00 90.00 90.00
Closest atoms and distances in Å follow each position.
Space group P4/mbm (No. 127)
Inequivalent atoms, fractional coordinates:
Ca  0.0000  0.0000  0.0000  4 Zn 3.16, 8 In 3.44
Zn  0.1166  0.3834  0.0000  1 Zn 2.60
In  0.1820  0.6820  0.5000  6 Zn 2.92-3.05